(1)
An optimized crystal structure of SmSi2BOs2. Source: Alexandria, functional PBE.

Cell and atoms, written as POSCAR:
```
SmSi2BOs2
1.0
4.1617 0.0000 0.0000
0.0000 4.1617 0.0000
0.0000 0.0000 5.3339
Sm Si B Os
1 2 1 2
direct
0.0000 0.0000 0.5000 Sm
0.5000 0.5000 0.7220 Si
0.5000 0.5000 0.2780 Si
0.0000 0.0000 0.0000 B
0.5000 0.0000 0.0000 Os
0.0000 0.5000 0.0000 Os
```

Summary:
M_tot: 0.00 μB/f.u.
E_form (uncorrected): -0.5211 eV/atom
uncorrected energy: -7.971 eV per atom

***

(2)
An optimized crystal structure of Ta2SiB2Os5. Source: Alexandria, functional PBE.

Cell and atoms, written as POSCAR:
```
Ta2SiB2Os5
1.0
-0.3084 -1.5415 -2.5124
-6.1939 -5.6218 4.2096
-6.9552 5.6889 -2.6365
Ta Si B Os
4 2 4 10
direct
0.0000 0.6772 0.1772 Ta
0.0000 0.3228 0.8228 Ta
0.0000 0.1772 0.3228 Ta
0.0000 0.8228 0.6772 Ta
0.0000 0.0000 0.0000 Si
0.0000 0.5000 0.5000 Si
0.0000 0.1249 0.6249 B
0.0000 0.8751 0.3751 B
0.0000 0.6249 0.8751 B
0.0000 0.3751 0.1249 B
0.5000 0.2106 0.0665 Os
0.5000 0.7894 0.9335 Os
0.5000 0.0665 0.7894 Os
0.5000 0.7106 0.4335 Os
0.5000 0.9335 0.2106 Os
0.5000 0.2894 0.5665 Os
0.5000 0.5665 0.7106 Os
0.5000 0.4335 0.2894 Os
0.5000 0.5000 0.0000 Os
0.5000 0.0000 0.5000 Os
```

Summary:
M_tot: 0.00 μB/f.u.
E_form (uncorrected): -0.4762 eV/atom
uncorrected energy: -10.339 eV per atom

***

(3)
An optimized crystal structure of Ta2SiBOs. Source: Alexandria, functional PBE.

Cell and atoms, written as POSCAR:
```
Ta2SiBOs
1.0
-4.2854 1.2179 -2.0746
-1.9185 -1.4389 3.1182
0.2065 4.4088 2.1615
Si B Os Ta
1 1 1 2
direct
0.5000 0.5000 0.5000 Si
0.0000 0.5000 0.0000 B
0.0000 0.0000 0.0000 Os
0.0000 0.0000 0.5000 Ta
0.5000 0.0000 0.0000 Ta
```

Summary:
M_tot: 0.00 μB/f.u.
E_form (uncorrected): 1.0710 eV/atom
uncorrected energy: -8.336 eV per atom

***

(4)
An optimized crystal structure of TbSi2BOs2. Source: Alexandria, functional PBE.

Cell and atoms, written as POSCAR:
```
TbSi2BOs2
1.0
4.1524 0.0000 0.0000
0.0000 4.1524 0.0000
0.0000 0.0000 5.2775
Tb Si B Os
1 2 1 2
direct
0.0000 0.0000 0.5000 Tb
0.5000 0.5000 0.7207 Si
0.5000 0.5000 0.2793 Si
0.0000 0.0000 0.0000 B
0.5000 0.0000 0.0000 Os
0.0000 0.5000 0.0000 Os
```

Summary:
M_tot: 0.00 μB/f.u.
E_form (uncorrected): -0.5172 eV/atom
uncorrected energy: -7.953 eV per atom

***

(5)
An optimized crystal structure of SiTcBOs2. Source: Alexandria, functional PBE.

Cell and atoms, written as POSCAR:
```
SiTcBOs2
1.0
-1.9761 3.1662 -2.5101
-2.8345 -2.3265 -0.7032
-2.1604 1.5333 3.6348
Si B Os Tc
1 1 2 1
direct
0.0000 0.0000 0.0000 Si
0.0000 0.5000 0.0000 B
0.0000 0.0000 0.5000 Os
0.5000 0.0000 0.0000 Os
0.5000 0.5000 0.5000 Tc
```

Summary:
M_tot: 3.09 μB/f.u.
E_form (uncorrected): 1.6015 eV/atom
uncorrected energy: -7.384 eV per atom

***

(6)
An optimized crystal structure of Si2TcBOs. Source: Alexandria, functional PBE.

Cell and atoms, written as POSCAR:
```
Si2TcBOs
1.0
4.1490 0.0000 0.0000
0.0000 3.8304 0.0000
0.0000 0.0000 4.1490
Si B Os Tc
2 1 1 1
direct
0.0000 0.0000 0.5000 Si
0.5000 0.0000 0.0000 Si
0.0000 0.0000 0.0000 B
0.0000 0.5000 0.0000 Os
0.5000 0.5000 0.5000 Tc
```

Summary:
M_tot: 0.00 μB/f.u.
E_form (uncorrected): 0.6379 eV/atom
uncorrected energy: -7.186 eV per atom

***

(7)
An optimized crystal structure of ThSi2BOs2. Source: Alexandria, functional PBE.

Cell and atoms, written as POSCAR:
```
ThSi2BOs2
1.0
4.1741 0.0000 0.0000
0.0000 4.1741 0.0000
0.0000 0.0000 5.3870
Th Si B Os
1 2 1 2
direct
0.0000 0.0000 0.5000 Th
0.5000 0.5000 0.7200 Si
0.5000 0.5000 0.2800 Si
0.0000 0.0000 0.0000 B
0.5000 0.0000 0.0000 Os
0.0000 0.5000 0.0000 Os
```

Summary:
M_tot: 0.00 μB/f.u.
E_form (uncorrected): -0.5320 eV/atom
uncorrected energy: -8.432 eV per atom

***

(8)
An optimized crystal structure of ThSiBOs2. Source: Alexandria, functional PBE.

Cell and atoms, written as POSCAR:
```
ThSiBOs2
1.0
-3.2882 3.8285 -2.5371
-4.0656 -3.8779 -0.5826
1.6070 1.4653 6.4164
Th Si B Os
2 2 2 4
direct
0.7266 0.7266 0.4533 Th
0.2266 0.2266 0.4533 Th
0.8075 0.3075 0.6150 Si
0.3075 0.8075 0.6150 Si
0.9825 0.9825 0.9650 B
0.4825 0.4825 0.9650 B
0.3300 0.8300 0.9836 Os
0.8300 0.6536 0.9836 Os
0.6536 0.1536 0.9836 Os
0.1536 0.3300 0.9836 Os
```

Summary:
M_tot: 0.00 μB/f.u.
E_form (uncorrected): -0.0660 eV/atom
uncorrected energy: -8.462 eV per atom

***

(9)
An optimized crystal structure of TmSiBOs2. Source: Alexandria, functional PBE.

Cell and atoms, written as POSCAR:
```
TmSiBOs2
1.0
3.9436 0.0000 0.0000
-1.9718 5.5546 0.0000
0.0000 0.0000 7.1280
Tm Si B Os
2 2 2 4
direct
0.4525 0.9050 0.7500 Tm
0.5475 0.0950 0.2500 Tm
0.7314 0.4629 0.7500 Si
0.2686 0.5371 0.2500 Si
0.0000 0.0000 0.0000 B
0.0000 0.0000 0.5000 B
0.1718 0.3437 0.9377 Os
0.8282 0.6563 0.0623 Os
0.1718 0.3437 0.5623 Os
0.8282 0.6563 0.4377 Os
```

Summary:
M_tot: 0.00 μB/f.u.
E_form (uncorrected): -0.5300 eV/atom
uncorrected energy: -8.336 eV per atom

***

(10)
An optimized crystal structure of Tm2Si2BOs2. Source: Alexandria, functional PBE.

Cell and atoms, written as POSCAR:
```
Tm2Si2BOs2
1.0
-0.2572 -2.4327 -3.3206
5.3606 -1.5283 -1.8569
0.8720 -5.4990 1.3997
Tm Si B Os
2 2 1 2
direct
0.5670 0.1669 0.6992 Tm
0.4330 0.8331 0.3008 Tm
0.1488 0.4000 0.3025 Si
0.8512 0.6000 0.6975 Si
0.0000 0.0000 0.0000 B
0.2149 0.6826 0.8876 Os
0.7851 0.3174 0.1124 Os
```

Summary:
M_tot: 0.00 μB/f.u.
E_form (uncorrected): -0.7712 eV/atom
uncorrected energy: -7.761 eV per atom

***

(11)
An optimized crystal structure of YSiBOs2. Source: Alexandria, functional PBE.

Cell and atoms, written as POSCAR:
```
YSiBOs2
1.0
3.9896 0.0000 0.0000
-1.9948 5.5507 0.0000
0.0000 0.0000 7.1536
Y Si B Os
2 2 2 4
direct
0.4520 0.9040 0.7500 Y
0.5480 0.0960 0.2500 Y
0.7310 0.4620 0.7500 Si
0.2690 0.5380 0.2500 Si
0.0000 0.0000 0.0000 B
0.0000 0.0000 0.5000 B
0.1726 0.3452 0.9369 Os
0.8274 0.6548 0.0631 Os
0.1726 0.3452 0.5631 Os
0.8274 0.6548 0.4369 Os
```

Summary:
M_tot: 0.00 μB/f.u.
E_form (uncorrected): -0.5427 eV/atom
uncorrected energy: -8.747 eV per atom

***

(12)
An optimized crystal structure of Y2Si2BOs2. Source: Alexandria, functional PBE.

Cell and atoms, written as POSCAR:
```
Y2Si2BOs2
1.0
-1.3298 3.3046 -2.1322
1.7461 -0.3379 -5.6542
-4.6588 -1.3269 -3.1925
Y Si B Os
2 2 1 2
direct
0.5669 0.1683 0.6980 Y
0.4331 0.8317 0.3020 Y
0.1520 0.3996 0.2964 Si
0.8480 0.6004 0.7036 Si
0.0000 0.0000 0.0000 B
0.2135 0.6822 0.8908 Os
0.7865 0.3178 0.1092 Os
```

Summary:
M_tot: 0.00 μB/f.u.
E_form (uncorrected): -0.7779 eV/atom
uncorrected energy: -8.337 eV per atom

***

(13)
An optimized crystal structure of ZrSiBOs2. Source: Alexandria, functional PBE.

Cell and atoms, written as POSCAR:
```
ZrSiBOs2
1.0
-2.4567 -2.5009 3.4376
3.6710 -1.4714 1.5531
0.2763 3.8681 3.0115
Si B Os Zr
1 1 2 1
direct
0.5000 0.5000 0.5000 Si
0.0000 0.5000 0.0000 B
0.0000 0.0000 0.5000 Os
0.5000 0.0000 0.0000 Os
0.0000 0.0000 0.0000 Zr
```

Summary:
M_tot: 0.97 μB/f.u.
E_form (uncorrected): 2.3860 eV/atom
uncorrected energy: -6.236 eV per atom

***

(14)
An optimized crystal structure of SmB2Os. Source: Alexandria, functional PBE.

Cell and atoms, written as POSCAR:
```
SmB2Os
1.0
3.8050 0.0000 0.0000
0.0000 5.5031 0.0000
0.0000 0.0000 11.5023
Sm B Os
4 8 4
direct
0.7500 0.6295 0.3719 Sm
0.7500 0.1295 0.1281 Sm
0.2500 0.3705 0.6281 Sm
0.2500 0.8705 0.8719 Sm
0.7500 0.6444 0.0427 B
0.2500 0.3556 0.9573 B
0.7500 0.1444 0.4573 B
0.2500 0.8556 0.5427 B
0.7500 0.1239 0.7511 B
0.2500 0.3761 0.2511 B
0.7500 0.6239 0.7489 B
0.2500 0.8761 0.2489 B
0.2500 0.1253 0.3759 Os
0.7500 0.8747 0.6241 Os
0.2500 0.6253 0.1241 Os
0.7500 0.3747 0.8759 Os
```

Summary:
formation energy from the elements: -0.35 eV per atom
M_tot: 0.00 μB/f.u.
excess energy over the best structure of this formula in the dataset: 0.000 eV per atom
uncorrected energy: -7.677 eV per atom

***

(15)
An optimized crystal structure of Sm3B3Os2. Source: Alexandria, functional PBE.

Cell and atoms, written as POSCAR:
```
Sm3B3Os2
1.0
3.7802 0.0000 0.0000
-1.8901 5.7392 0.0000
0.0000 0.0000 12.9329
Sm B Os
6 6 4
direct
0.9265 0.8530 0.3867 Sm
0.0735 0.1470 0.8867 Sm
0.9265 0.8530 0.1133 Sm
0.0735 0.1470 0.6133 Sm
0.6371 0.2742 0.2500 Sm
0.3629 0.7258 0.7500 Sm
0.6506 0.3012 0.4570 B
0.3494 0.6988 0.9570 B
0.6506 0.3012 0.0430 B
0.3494 0.6988 0.5430 B
0.3013 0.6027 0.2500 B
0.6987 0.3973 0.7500 B
0.7712 0.5423 0.9144 Os
0.2288 0.4577 0.4144 Os
0.7712 0.5423 0.5856 Os
0.2288 0.4577 0.0856 Os
```

Summary:
formation energy from the elements: -0.21 eV per atom
M_tot: 0.00 μB/f.u.
uncorrected energy: -7.296 eV per atom

***

(16)
An optimized crystal structure of SmB2Os2. Source: Alexandria, functional PBE.

Cell and atoms, written as POSCAR:
```
SmB2Os2
1.0
-3.7970 -0.8500 -1.0508
1.2581 -3.3675 -1.8222
0.6758 -0.3497 5.5702
Sm B Os
1 2 2
direct
0.0000 0.0000 0.0000 Sm
0.6800 0.6800 0.3599 B
0.3200 0.3200 0.6401 B
0.7500 0.2500 0.5000 Os
0.2500 0.7500 0.5000 Os
```

Summary:
formation energy from the elements: -0.37 eV per atom
M_tot: 0.00 μB/f.u.
excess energy over the best structure of this formula in the dataset: 0.085 eV per atom
uncorrected energy: -8.472 eV per atom

***

(17)
An optimized crystal structure of Sm2B4Os3. Source: Alexandria, functional PBE.

Cell and atoms, written as POSCAR:
```
Sm2B4Os3
1.0
-0.2350 4.6491 2.8903
-1.9784 -4.5347 2.3549
5.4803 -0.9963 -0.7565
Sm B Os
2 4 3
direct
0.6585 0.6585 0.3170 Sm
0.3415 0.3415 0.6830 Sm
0.0532 0.6176 0.6707 B
0.6176 0.0532 0.6707 B
0.9468 0.3824 0.3293 B
0.3824 0.9468 0.3293 B
0.5000 0.0000 0.0000 Os
0.0000 0.0000 0.0000 Os
0.0000 0.5000 0.0000 Os
```

Summary:
formation energy from the elements: 0.05 eV per atom
M_tot: 0.70 μB/f.u.
uncorrected energy: -7.713 eV per atom

***

(18)
An optimized crystal structure of SmB2Os. Source: Alexandria, functional PBE.

Cell and atoms, written as POSCAR:
```
SmB2Os
1.0
-2.2688 1.5355 -2.4766
0.7010 -0.3449 -3.6095
-3.1407 -3.6656 -2.1489
B Os Sm
2 1 1
direct
0.7956 0.7956 0.6132 B
0.2044 0.2044 0.3868 B
0.5000 0.5000 0.5000 Os
0.0000 0.0000 0.0000 Sm
```

Summary:
formation energy from the elements: -0.19 eV per atom
M_tot: 0.00 μB/f.u.
excess energy over the best structure of this formula in the dataset: 0.162 eV per atom
uncorrected energy: -7.516 eV per atom

***

(19)
An optimized crystal structure of SmB3Os. Source: Alexandria, functional PBE.

Cell and atoms, written as POSCAR:
```
SmB3Os
1.0
3.8807 0.0000 0.0000
0.0000 5.4979 0.0000
-1.9404 0.0000 6.3105
Sm B Os
2 6 2
direct
0.9030 0.7500 0.8060 Sm
0.0970 0.2500 0.1940 Sm
0.7456 0.0977 0.4912 B
0.2544 0.9023 0.5088 B
0.2544 0.5977 0.5088 B
0.7456 0.4023 0.4912 B
0.1177 0.7500 0.2353 B
0.8823 0.2500 0.7647 B
0.6646 0.7500 0.3292 Os
0.3354 0.2500 0.6708 Os
```

Summary:
formation energy from the elements: -0.25 eV per atom
M_tot: 0.00 μB/f.u.
uncorrected energy: -7.445 eV per atom

***

(20)
An optimized crystal structure of SmB2Os2. Source: Alexandria, functional PBE.

Cell and atoms, written as POSCAR:
```
SmB2Os2
1.0
-4.3553 -1.4062 -4.9383
-4.1427 -4.3240 -0.1254
-5.1151 2.3354 -0.3234
Sm B Os
2 4 4
direct
0.0000 0.0000 0.0000 Sm
0.2500 0.2500 0.2500 Sm
0.6877 0.3123 0.6877 B
0.3123 0.6877 0.3123 B
0.9377 0.5623 0.9377 B
0.5623 0.9377 0.5623 B
0.6124 0.6124 0.8876 Os
0.6376 0.6376 0.3624 Os
0.3624 0.3624 0.6376 Os
0.8876 0.8876 0.6124 Os
```

Summary:
formation energy from the elements: -0.45 eV per atom
M_tot: 0.00 μB/f.u.
excess energy over the best structure of this formula in the dataset: 0.000 eV per atom
uncorrected energy: -8.558 eV per atom

***

(21)
An optimized crystal structure of Sm2BOs2. Source: Alexandria, functional PBE.

Cell and atoms, written as POSCAR:
```
Sm2BOs2
1.0
-1.1060 4.5044 -3.4394
-3.6607 -0.8810 4.8705
4.5850 3.1095 2.5981
Sm B Os
4 2 4
direct
0.4974 0.2706 0.1001 Sm
0.2268 0.7294 0.3999 Sm
0.5026 0.7294 0.8999 Sm
0.7732 0.2706 0.6001 Sm
0.9645 0.0000 0.2500 B
0.0355 0.0000 0.7500 B
0.7492 0.7500 0.4696 Os
0.9992 0.2500 0.0304 Os
0.2508 0.2500 0.5304 Os
0.0008 0.7500 0.9696 Os
```

Summary:
formation energy from the elements: -0.10 eV per atom
M_tot: 0.00 μB/f.u.
uncorrected energy: -7.818 eV per atom

***

(22)
An optimized crystal structure of Sm3B8Os3. Source: Alexandria, functional PBE.

Cell and atoms, written as POSCAR:
```
Sm3B8Os3
1.0
-2.5192 0.8789 1.6184
-0.0005 -5.3571 5.9172
3.3589 3.6127 6.2752
Sm B Os
3 8 3
direct
0.5000 0.5000 0.5000 Sm
0.7829 0.2171 0.2171 Sm
0.2171 0.7829 0.7829 Sm
0.6307 0.1357 0.6030 B
0.3693 0.8643 0.3970 B
0.6307 0.6030 0.1357 B
0.3693 0.3970 0.8643 B
0.8489 0.8261 0.4761 B
0.1511 0.1739 0.5239 B
0.8489 0.4761 0.8261 B
0.1511 0.5239 0.1739 B
0.5000 0.0000 0.0000 Os
0.0000 0.7815 0.2185 Os
0.0000 0.2185 0.7815 Os
```

Summary:
formation energy from the elements: -0.04 eV per atom
M_tot: 0.00 μB/f.u.
uncorrected energy: -7.270 eV per atom

***

(23)
An optimized crystal structure of Sn3BOs. Source: Alexandria, functional PBE.

Cell and atoms, written as POSCAR:
```
Sn3BOs
1.0
-2.3199 4.1401 -1.9066
-3.5514 -2.9828 -2.1557
-2.8570 0.3461 4.2279
B Os Sn
1 1 3
direct
0.5000 0.5000 0.5000 B
0.0000 0.0000 0.0000 Os
0.0000 0.5000 0.0000 Sn
0.0000 0.0000 0.5000 Sn
0.5000 0.0000 0.0000 Sn
```

Summary:
formation energy from the elements: 1.16 eV per atom
M_tot: 0.00 μB/f.u.
excess energy over the best structure of this formula in the dataset: 0.000 eV per atom
uncorrected energy: -4.826 eV per atom

***

(24)
An optimized crystal structure of SnB2Os2. Source: Alexandria, functional PBE.

Cell and atoms, written as POSCAR:
```
SnB2Os2
1.0
3.9918 0.0000 0.0000
0.0000 3.9918 0.0000
1.9959 1.9959 3.9904
B Os Sn
2 2 1
direct
0.3863 0.3863 0.2274 B
0.6137 0.6137 0.7726 B
0.7500 0.2500 0.5000 Os
0.2500 0.7500 0.5000 Os
0.0000 0.0000 0.0000 Sn
```

Summary:
formation energy from the elements: 0.23 eV per atom
M_tot: 0.00 μB/f.u.
excess energy over the best structure of this formula in the dataset: 0.162 eV per atom
uncorrected energy: -7.736 eV per atom